# 1
Here is ZrGe2BiPd after structural relaxation from Alexandria. Energies are from PBE-GGA.

Cell: 4.713 4.713 5.456 Å, 90.00 90.00 90.00°
Space group P4/mmm (No. 123)
Unique sites:
Zr1 0.000 0.000 0.000 (multiplicity 1)
Ge1 0.000 0.500 0.500 (multiplicity 2)
Bi1 0.500 0.500 0.000 (multiplicity 1)
Pd1 0.000 0.000 0.500 (multiplicity 1)

## Properties
**Total moment**: 0.00 Bohr magnetons per cell
**Formation enthalpy at 0 K**: 142.6 meV per atom
**Raw total energy**: -5.2288 eV/atom

---

# 2
Here is PmGeBi after structural relaxation from Alexandria. Energies are from PBE-GGA.

Cell: 4.9508 4.9508 3.9989 Å, 90.00 90.00 120.00°
Space group P3m1 (No. 156)
Unique sites:
Pm1 0.0000 0.0000 0.0000 (multiplicity 1)
Ge1 0.6667 0.3333 0.5278 (multiplicity 1)
Bi1 0.3333 0.6667 0.4909 (multiplicity 1)

## Properties
**Total moment**: 0.00 Bohr magnetons per cell
**Formation enthalpy at 0 K**: -351.1 meV per atom
**Raw total energy**: -4.7674 eV/atom

---

# 3
Here is Pm2Ge2Bi after structural relaxation from Alexandria. Energies are from PBE-GGA.

Cell: 4.094 14.984 4.238 Å, 90.00 90.00 90.00°
Space group Cmmm (No. 65)
Unique sites:
Pm1 0.000 0.137 0.000 (multiplicity 4)
Ge1 0.000 0.302 0.500 (multiplicity 4)
Bi1 0.000 0.500 0.500 (multiplicity 2)

## Properties
**Total moment**: 0.00 Bohr magnetons per cell
**Formation enthalpy at 0 K**: -736.0 meV per atom
**Raw total energy**: -5.2594 eV/atom

---

# 4
Here is PmGeBi after structural relaxation from Alexandria. Energies are from PBE-GGA.

Cell: 7.298 7.298 7.298 Å, 90.00 90.00 90.00°
Space group F-43m (No. 216)
Unique sites:
Pm1 0.000 0.000 0.000 (multiplicity 4)
Ge1 0.250 0.250 0.750 (multiplicity 4)
Bi1 0.250 0.250 0.250 (multiplicity 4)

## Properties
**Total moment**: 0.00 Bohr magnetons per cell
**Formation enthalpy at 0 K**: -98.9 meV per atom
**Raw total energy**: -4.5152 eV/atom

---

# 5
Here is Pm4GeBi after structural relaxation from Alexandria. Energies are from PBE-GGA.

Cell: 5.769 21.091 6.343 Å, 90.00 90.00 90.00°
Space group Cmcm (No. 63)
Unique sites:
Pm1 0.000 0.057 0.250 (multiplicity 4)
Pm2 0.000 0.208 0.502 (multiplicity 8)
Pm3 0.000 0.388 0.250 (multiplicity 4)
Ge1 0.000 0.080 0.750 (multiplicity 4)
Bi1 0.000 0.353 0.750 (multiplicity 4)

## Properties
**Total moment**: 0.00 Bohr magnetons per cell
**Formation enthalpy at 0 K**: -491.3 meV per atom
**Raw total energy**: -5.0748 eV/atom

---

# 6
Here is PmGe4Bi after structural relaxation from Alexandria. Energies are from PBE-GGA.

Cell: 8.120 8.120 8.120 Å, 90.00 90.00 90.00°
Space group F-43m (No. 216)
Unique sites:
Pm1 0.000 0.000 0.000 (multiplicity 4)
Ge1 0.126 0.126 0.626 (multiplicity 16)
Bi1 0.250 0.250 0.250 (multiplicity 4)

## Properties
**Total moment**: 0.00 Bohr magnetons per cell
**Formation enthalpy at 0 K**: -154.7 meV per atom
**Raw total energy**: -4.6716 eV/atom

---

# 7
Here is PmGe2Bi after structural relaxation from Alexandria. Energies are from PBE-GGA.

Cell: 4.9140 4.9140 21.3417 Å, 90.00 90.00 120.00°
Space group R-3m (No. 166, hexagonal axes)
Unique sites:
Pm1 0.0000 0.0000 0.0000 (multiplicity 3)
Ge1 0.0000 0.0000 0.3748 (multiplicity 6)
Bi1 0.0000 0.0000 0.5000 (multiplicity 3)

## Properties
**Total moment**: 0.00 Bohr magnetons per cell
**Formation enthalpy at 0 K**: 261.7 meV per atom
**Raw total energy**: -4.2049 eV/atom

---

# 8
Here is Pm2Ge2Bi after structural relaxation from Alexandria. Energies are from PBE-GGA.

Cell: 7.749 7.749 4.304 Å, 90.00 90.00 90.00°
Space group P4/mbm (No. 127)
Unique sites:
Pm1 0.178 0.322 0.000 (multiplicity 4)
Ge1 0.117 0.617 0.500 (multiplicity 4)
Bi1 0.000 0.000 0.500 (multiplicity 2)

## Properties
**Total moment**: 0.00 Bohr magnetons per cell
**Formation enthalpy at 0 K**: -731.2 meV per atom
**Raw total energy**: -5.2546 eV/atom